# 1
## BaTe2Ru (PBE)

Data for a relaxed structure of BaTe2Ru.

a b c (Å): 4.1155 6.5604 9.0494
angles (deg): 90.00 90.00 90.00
With the nearest neighbours (Å) after each atom.
Space group Immm (No. 71)
Symmetry-distinct sites (fractional):
1 Ba 0.0000 0.0000 0.0000  8 Te 3.53-3.68, 4 Ru 3.87
2 Te 0.0000 0.5000 0.1833  2 Ru 2.64
3 Ru 0.0000 0.0000 0.5000  4 Te 2.64

Properties
Polymorph energy (0 for the lowest one) in meV per atom: 176.1
Formation energy from raw total energies in eV per atom: -0.4952

=====

# 2
## Pm3ScSn2 (PBE)

Data for a relaxed structure of Pm3ScSn2.

a b c (Å): 6.4691 17.0585 6.4254
angles (deg): 90.00 90.00 90.00
With the nearest neighbours (Å) after each atom.
Space group Ibam (No. 72)
Symmetry-distinct sites (fractional):
1 Pm 0.0000 0.0000 0.2500  2 Pm 3.21, 2 Sc 3.23, 4 Sn 3.28
2 Pm 0.2429 0.1748 0.0000  5 Sn 3.26-3.36
3 Sc 0.0000 0.5000 0.2500  4 Sn 3.18, 2 Sc 3.21, 2 Pm 3.23
4 Sn 0.2345 0.3660 0.0000  2 Sc 3.18, 7 Pm 3.26-3.36

Properties
Polymorph energy (0 for the lowest one) in meV per atom: 0.0
Energy of formation from the pure elements in eV per atom: -0.584

=====

# 3
## SmAg2GeS4 (PBE)

Data for a relaxed structure of SmAg2GeS4.

a b c (Å): 7.4960 7.9923 11.1000
angles (deg): 90.00 90.00 90.00
With the nearest neighbours (Å) after each atom.
Space group Imma (No. 74)
Symmetry-distinct sites (fractional):
1 Sm 0.0000 0.0000 0.0000  6 S 2.77-2.79
2 Ag 0.0000 0.0000 0.5000  6 S 2.72-2.76
3 Ag 0.2500 0.2500 0.2500  6 S 2.84-2.91
4 Ge 0.2500 0.2500 0.7500  6 S 2.64
5 S 0.0000 0.0166 0.7486  2 Ge 2.64, 3 Ag 2.76-2.84, 1 Sm 2.79
6 S 0.2450 0.2500 0.5125  1 Ge 2.64, 3 Ag 2.72-2.91, 2 Sm 2.77

Properties
Formation energy from raw total energies in eV per atom: -0.6553

=====

# 4
## CaDyPu2Se4 (PBE)

Data for a relaxed structure of CaDyPu2Se4.

a b c (Å): 7.1770 4.1340 7.1931
angles (deg): 90.00 109.34 90.00
With the nearest neighbours (Å) after each atom.
Space group P2/m (No. 10)
Symmetry-distinct sites (fractional):
1 Ca 0.0000 0.0000 0.0000  6 Se 2.93
2 Dy 0.5000 0.5000 0.0000  6 Se 2.90-2.91
3 Pu 0.0000 0.5000 0.5000  6 Se 2.96
4 Pu 0.5000 0.0000 0.5000  6 Se 2.93-2.94
5 Se 0.2517 0.5000 0.2469  1 Dy 2.90, 2 Ca 2.93, 3 Pu 2.93-2.96
6 Se 0.2538 0.0000 0.7546  2 Dy 2.91, 1 Ca 2.93, 3 Pu 2.94-2.96

Properties
Formation energy from raw total energies in eV per atom: -1.6956

=====

# 5
## SrCaYI2 (PBE)

Data for a relaxed structure of SrCaYI2.

a b c (Å): 6.1327 6.1327 7.7727
angles (deg): 90.00 90.00 90.00
With the nearest neighbours (Å) after each atom.
Space group P4/mmm (No. 123)
Symmetry-distinct sites (fractional):
1 Sr 0.0000 0.0000 0.0000  4 I 3.07
2 Ca 0.0000 0.0000 0.5000  2 Sr 3.89, 4 Y 4.34
3 Y 0.5000 0.5000 0.5000  4 Ca 4.34
4 I 0.0000 0.5000 0.0000  2 Sr 3.07

Properties
Formation energy from raw total energies in eV per atom: -0.0222

=====

# 6
## Sr2Bi4PdRh3 (PBE)

Data for a relaxed structure of Sr2Bi4PdRh3.

a b c (Å): 4.8210 4.8210 10.7929
angles (deg): 90.00 90.00 90.00
With the nearest neighbours (Å) after each atom.
Space group P-4m2 (No. 115)
Symmetry-distinct sites (fractional):
1 Sr 0.0000 0.5000 0.2434  2 Pd 3.57, 6 Rh 3.57-3.69, 9 Bi 3.64-3.98
2 Bi 0.0000 0.0000 0.5000  4 Rh 2.76
3 Bi 0.0000 0.5000 0.8748  3 Rh 2.69-2.76, 2 Pd 2.76
4 Bi 0.5000 0.5000 0.5000  4 Rh 2.76
5 Pd 0.5000 0.5000 0.0000  4 Bi 2.76
6 Rh 0.0000 0.0000 0.0000  4 Bi 2.76
7 Rh 0.0000 0.5000 0.6254  5 Bi 2.69-2.76

Properties
Energy of formation from the pure elements in eV per atom: -0.459

=====

Calculated E, -4.87; -5.35; -4.60; -7.85; -2.67; -5.07 eV per atom (same order as the records).
Calculated calculated density, 6.7; 6.7; 5.7; 8.3; 2.7; 9.4 g/cm³ (same order as the records).